1.
Compound: Pm3Nd2Dy
Source: the Alexandria database
Functional: PBE
Structure: optimized geometry

Computed properties:
For the formation energy, the calculation gives 0.25 eV/atom. The energy is -53.83 eV per cell.

```
Pm3Nd2Dy
1.0
6.786 0.000 0.000
0.000 17.933 0.000
0.000 0.000 3.433
Pm Nd Dy
6 4 2
direct
0.000 0.000 0.000
0.240 0.321 0.000
0.260 0.821 0.500
0.500 0.500 0.500
0.740 0.179 0.500
0.760 0.679 0.000
0.235 0.150 0.500
0.265 0.650 0.000
0.735 0.350 0.000
0.765 0.850 0.500
0.000 0.500 0.000
0.500 0.000 0.500
```

***

2.
Compound: LaDyY
Source: the Alexandria database
Functional: PBE
Structure: optimized geometry

Computed properties:
For the formation energy, the calculation gives 0.10 eV/atom. The energy is -15.69 eV per cell.

```
LaDyY
1.0
-2.099 2.099 5.785
2.099 -2.099 5.785
2.099 2.099 -5.785
La Dy Y
1 1 1
direct
0.000 0.000 0.000
0.326 0.326 0.000
0.675 0.675 0.000
```

***

3.
Compound: Si3AuO
Source: the Alexandria database
Functional: PBE
Structure: optimized geometry

Computed properties:
The energy is -18.14 eV per cell. For the energy relative to the elements, uncorrected, the calculation gives 29.35 kcal/mol of atoms.

```
Si3AuO
1.0
4.821 0.000 0.000
0.000 4.821 0.000
0.000 0.000 4.821
Si Au O
3 1 1
direct
0.000 0.000 0.500
0.000 0.500 0.000
0.500 0.000 0.000
0.000 0.000 0.000
0.500 0.500 0.500
```

***

4.
Compound: Sc4Zn3Hg
Source: the Alexandria database
Functional: PBE
Structure: optimized geometry

Computed properties:
For the formation energy, the calculation gives -0.38 eV/atom. The energy is -32.53 eV per cell.

```
Sc4Zn3Hg
1.0
2.399 1.385 7.856
-2.399 1.385 7.856
0.000 -2.770 7.856
Sc Zn Hg
4 3 1
direct
0.122 0.122 0.122
0.372 0.372 0.372
0.628 0.628 0.628
0.878 0.878 0.878
0.000 0.000 0.000
0.252 0.252 0.252
0.748 0.748 0.748
0.500 0.500 0.500
```

***

5.
Compound: Tl2RuI6
Source: the Alexandria database
Functional: PBE
Structure: optimized geometry

Computed properties:
The energy is -25.82 eV per cell. For the energy relative to the elements, uncorrected, the calculation gives -6.42 kcal/mol of atoms.

```
Tl2RuI6
1.0
6.636 -3.958 0.000
6.636 3.958 0.000
-4.751 0.000 6.617
Tl Ru I
2 1 6
direct
0.249 0.249 0.238
0.751 0.751 0.762
0.500 0.500 0.000
0.214 0.696 0.187
0.258 0.258 0.684
0.304 0.786 0.813
0.696 0.214 0.187
0.742 0.742 0.316
0.786 0.304 0.813
```

***

6.
Compound: Pm12Pr7Pb
Source: the Alexandria database
Functional: PBE
Structure: optimized geometry

Computed properties:
For the formation energy, the calculation gives 0.15 eV/atom. The energy is -91.27 eV per cell.

```
Pm12Pr7Pb
1.0
6.281 3.626 5.251
-6.281 3.626 5.251
0.000 -7.252 5.251
Pm Pr Pb
12 7 1
direct
0.004 0.885 0.337
0.115 0.663 0.996
0.122 0.461 0.343
0.337 0.004 0.885
0.343 0.122 0.461
0.461 0.343 0.122
0.539 0.657 0.878
0.657 0.878 0.539
0.663 0.996 0.115
0.878 0.539 0.657
0.885 0.337 0.004
0.996 0.115 0.663
0.213 0.765 0.620
0.235 0.380 0.787
0.380 0.787 0.235
0.500 0.500 0.500
0.620 0.213 0.765
0.765 0.620 0.213
0.787 0.235 0.380
0.000 0.000 0.000
```

***

7.
Compound: ScRu2Br
Source: the Alexandria database
Functional: PBE
Structure: optimized geometry

Computed properties:
The energy is -24.72 eV per cell. For the energy relative to the elements, uncorrected, the calculation gives 10.59 kcal/mol of atoms.

```
ScRu2Br
1.0
0.000 3.238 3.238
3.238 0.000 3.238
3.238 3.238 0.000
Sc Ru Br
1 2 1
direct
0.000 0.000 0.000
0.500 0.500 0.500
0.750 0.750 0.750
0.250 0.250 0.250
```

***

8.
Compound: B4C
Source: the Alexandria database
Functional: PBE
Structure: optimized geometry

Computed properties:
For the formation energy, the calculation gives -0.10 eV/atom. The energy is -109.33 eV per cell.

```
B4C
1.0
4.390 -2.803 0.000
4.390 2.803 0.000
-2.439 0.000 4.431
B C
12 3
direct
0.000 0.000 0.000
0.176 0.498 0.504
0.189 0.697 0.294
0.305 0.818 0.690
0.311 0.311 0.177
0.498 0.176 0.504
0.507 0.831 0.484
0.509 0.509 0.151
0.694 0.694 0.808
0.697 0.189 0.294
0.818 0.305 0.690
0.831 0.507 0.484
0.121 0.121 0.885
0.497 0.497 0.814
0.876 0.876 0.108
```

***

> What is the energy in the third record?

-18.14 eV per cell